## 1
An optimized crystal structure of Li2MnCo, computed with GGA-PBE.

## Properties
- Total moment: 4.617 μB/cell

The structure in extended XYZ format:
```
4
Lattice="-1.511 -1.820 -1.044 0.108 -0.203 2.575 -7.010 5.405 0.720" Properties=species:S:1:pos:R:3 pbc="T T T"
Li -6.825 5.263 0.701
Co -5.867 2.972 1.296
Li -2.562 0.423 0.957
Mn -3.673 2.832 0.377
```

=====

## 2
An optimized crystal structure of Li2MnCo, computed with GGA-PBE.

## Properties
- Total moment: 0.815 μB/cell

The structure in extended XYZ format:
```
4
Lattice="2.702 0.000 0.000 0.000 2.702 0.000 0.000 0.000 7.195" Properties=species:S:1:pos:R:3 pbc="T T T"
Co 1.351 1.351 5.153
Li 0.000 0.000 6.929
Li 1.351 1.351 2.005
Mn 0.000 0.000 3.901
```

=====

## 3
An optimized crystal structure of Li2MnCo, computed with GGA-PBE.

## Properties
- Total moment: 1.929 μB/cell

The structure in extended XYZ format:
```
4
Lattice="-2.022 -0.861 -0.754 -0.584 -0.540 2.183 -3.676 7.804 0.949" Properties=species:S:1:pos:R:3 pbc="T T T"
Li -1.860 3.949 0.480
Co -4.060 5.153 1.426
Mn -2.222 1.251 0.952
Li -3.653 7.757 0.943
```

=====

Most stable structure - 1; separation to the second - 0.039 eV/atom.

=====

## 1
An optimized crystal structure of Li2MnCo, computed with GGA-PBE.

## Properties
- Total moment: 4.697 μB/cell

The structure in extended XYZ format:
```
4
Lattice="4.993 0.022 -0.031 2.170 4.497 0.031 -2.931 -3.290 2.348" Properties=species:S:1:pos:R:3 pbc="T T T"
Co 1.452 1.759 1.189
Li 2.852 -0.485 1.159
Li 0.054 0.034 0.000
Mn 3.456 2.180 0.000
```

=====

## 2
An optimized crystal structure of Li2MnCo, computed with GGA-PBE.

## Properties
- Total moment: 4.870 μB/cell

The structure in extended XYZ format:
```
4
Lattice="-0.354 1.824 3.694 -3.243 -0.847 2.422 0.521 -2.210 3.456" Properties=species:S:1:pos:R:3 pbc="T T T"
Li -2.307 -0.925 7.179
Mn 0.000 0.000 0.000
Li -0.769 -0.308 2.393
Co -1.538 -0.617 4.786
```

=====

Most stable structure - 1; separation to the second - 0.113 eV/atom.

=====

## 1
An optimized crystal structure of Li2MnCo, computed with GGA-PBE.

## Properties
- Total moment: 1.230 μB/cell

The structure in extended XYZ format:
```
4
Lattice="-0.275 0.156 4.144 2.005 -0.342 3.624 1.112 4.893 0.190" Properties=species:S:1:pos:R:3 pbc="T T T"
Li 0.020 0.044 0.045
Li 0.695 1.116 1.980
Mn 1.467 2.591 3.953
Co 2.081 3.309 5.959
```

=====

## 2
An optimized crystal structure of Li2MnCo, computed with GGA-PBE.

## Properties
- Total moment: 4.458 μB/cell

The structure in extended XYZ format:
```
4
Lattice="-4.304 -2.831 0.214 -2.639 -3.871 2.154 -2.647 1.203 2.918" Properties=species:S:1:pos:R:3 pbc="T T T"
Mn -2.398 -1.375 1.321
Li -4.744 -2.655 2.649
Li -2.699 1.109 2.911
Co -7.193 -4.124 3.964
```

=====

## 3
An optimized crystal structure of Li2MnCo, computed with GGA-PBE.

## Properties
- Total moment: 4.087 μB/cell

The structure in extended XYZ format:
```
4
Lattice="-0.052 1.228 -3.952 3.948 -1.170 -0.416 -2.825 -2.698 1.367" Properties=species:S:1:pos:R:3 pbc="T T T"
Mn 1.948 0.029 -2.184
Co -0.465 -0.721 -2.385
Li 1.535 -1.920 -0.617
Li 0.000 0.000 0.000
```

=====

## 4
An optimized crystal structure of Li2MnCo, computed with GGA-PBE.

## Properties
- Total moment: 4.137 μB/cell

The structure in extended XYZ format:
```
4
Lattice="-3.338 -1.011 2.886 0.057 -2.420 -0.782 2.961 -1.235 2.992" Properties=species:S:1:pos:R:3 pbc="T T T"
Li 1.539 -1.870 1.125
Li 2.989 -3.613 2.191
Mn -0.914 -1.419 1.996
Co 0.595 -3.247 3.101
```

=====

Most stable structure - 2; separation to the second - 0.014 eV/atom.

=====

## 1
An optimized crystal structure of LiMn3Co, computed with GGA-PBE.

## Properties
- Total moment: 0.006 μB/cell

The structure in extended XYZ format:
```
5
Lattice="3.792 0.000 0.000 0.000 3.792 0.000 0.000 0.000 3.792" Properties=species:S:1:pos:R:3 pbc="T T T"
Mn 0.000 0.000 1.896
Co 1.896 1.896 1.896
Mn 1.896 0.000 0.000
Li 0.000 0.000 0.000
Mn 0.000 1.896 0.000
```

=====

## 2
An optimized crystal structure of LiMn3Co, computed with GGA-PBE.

## Properties
- Total moment: 13.118 μB/cell

The structure in extended XYZ format:
```
5
Lattice="4.577 0.000 0.000 0.000 4.577 0.000 0.000 0.000 4.577" Properties=species:S:1:pos:R:3 pbc="T T T"
Li 2.289 2.289 2.289
Mn 0.000 2.289 0.000
Co 0.000 0.000 0.000
Mn 2.289 0.000 0.000
Mn 0.000 0.000 2.289
```

=====

Most stable structure - 2; separation to the second - 0.616 eV/atom.